# 1
# BaOs2Pt

A geometry-optimized BaOs2Pt structure (GGA-PBEsol, the Alexandria database).

formation energy from the elements: 1.12 eV per atom
distance to the lowest polymorph of the same formula: 0.132 eV per atom

Lattice parameters (Å, degrees): 2.879 2.879 10.281 81.95 81.95 60.00
Positions (direct):
Ba 0.000 0.000 0.000
Os 0.236 0.236 0.291
Pt 0.500 0.500 0.500
Os 0.764 0.764 0.709

# 2
# BaOsPt2

A geometry-optimized BaOsPt2 structure (GGA-PBEsol, the Alexandria database).

formation energy from the elements: 0.29 eV per atom
distance to the lowest polymorph of the same formula: 0.000 eV per atom

Lattice parameters (Å, degrees): 3.271 3.271 7.467 90.00 90.00 90.00
Positions (direct):
Ba 0.500 0.500 0.000
Os 0.500 0.500 0.500
Pt 0.000 0.000 0.679
Pt 0.000 0.000 0.321

# 3
# Ba2YOsPt

A geometry-optimized Ba2YOsPt structure (GGA-PBEsol, the Alexandria database).

formation energy from the elements: 1.28 eV per atom

Lattice parameters (Å, degrees): 4.622 6.167 6.167 90.00 90.00 90.00
Positions (direct):
Y 0.000 0.000 0.000
Ba 0.000 0.500 0.000
Os 0.500 0.000 0.000
Ba 0.000 0.000 0.500
Pt 0.500 0.500 0.500

# 4
# RbBa2Os

A geometry-optimized RbBa2Os structure (GGA-PBEsol, the Alexandria database).

formation energy from the elements: 0.84 eV per atom

Lattice parameters (Å, degrees): 5.569 5.569 5.569 60.00 60.00 60.00
Positions (direct):
Os 0.500 0.500 0.500
Ba 0.250 0.250 0.250
Ba 0.750 0.750 0.750
Rb 0.000 0.000 0.000

# 5
# Rb3BaOs

A geometry-optimized Rb3BaOs structure (GGA-PBEsol, the Alexandria database).

formation energy from the elements: 1.32 eV per atom

Lattice parameters (Å, degrees): 6.470 6.470 6.470 90.00 90.00 90.00
Last column: magnetic moment on the atom in μB.
Positions (direct):
Rb 0.000 0.500 0.000  -0.01
Os 0.000 0.000 0.000  1.85
Rb 0.000 0.000 0.500  -0.01
Rb 0.500 0.000 0.000  -0.01
Ba 0.500 0.500 0.500  -0.14

# 6
# Ba2ReOs

A geometry-optimized Ba2ReOs structure (GGA-PBEsol, the Alexandria database).

formation energy from the elements: 1.60 eV per atom

Lattice parameters (Å, degrees): 4.169 4.169 6.103 109.97 109.97 90.00
Positions (direct):
Re 0.000 0.000 0.000
Ba 0.250 0.750 0.500
Os 0.500 0.500 0.000
Ba 0.750 0.250 0.500

# 7
# BaReOs2

A geometry-optimized BaReOs2 structure (GGA-PBEsol, the Alexandria database).

formation energy from the elements: 0.74 eV per atom

Lattice parameters (Å, degrees): 2.989 2.989 8.322 90.00 90.00 90.00
Positions (direct):
Re 0.500 0.500 0.000
Os 0.000 0.000 0.811
Ba 0.500 0.500 0.500
Os 0.000 0.000 0.189

# 8
# Ba2OsRh

A geometry-optimized Ba2OsRh structure (GGA-PBEsol, the Alexandria database).

formation energy from the elements: 0.96 eV per atom
distance to the lowest polymorph of the same formula: 0.747 eV per atom

Lattice parameters (Å, degrees): 5.123 5.123 5.123 60.00 60.00 60.00
Last column: magnetic moment on the atom in μB.
Positions (direct):
Ba 0.000 0.000 0.000  -0.03
Os 0.500 0.500 0.500  1.10
Rh 0.250 0.250 0.250  0.62
Ba 0.750 0.750 0.750  0.01

# 9
# BaOsRh2

A geometry-optimized BaOsRh2 structure (GGA-PBEsol, the Alexandria database).

formation energy from the elements: 0.58 eV per atom
distance to the lowest polymorph of the same formula: 0.000 eV per atom

Lattice parameters (Å, degrees): 2.877 4.225 6.575 90.00 102.68 90.00
Positions (direct):
Rh 0.910 0.500 0.194
Os 0.242 0.500 0.859
Ba 0.554 0.000 0.482
Rh 0.795 0.000 0.965

# 10
# BaOsRh2

A geometry-optimized BaOsRh2 structure (GGA-PBEsol, the Alexandria database).

formation energy from the elements: 0.61 eV per atom
distance to the lowest polymorph of the same formula: 0.033 eV per atom

Lattice parameters (Å, degrees): 3.047 3.047 7.988 90.00 90.00 90.00
Positions (direct):
Os 0.500 0.500 0.821
Rh 0.500 0.500 0.190
Ba 0.000 0.000 0.496
Rh 0.000 0.000 0.994

# 11
# Ba2OsRh

A geometry-optimized Ba2OsRh structure (GGA-PBEsol, the Alexandria database).

formation energy from the elements: 0.22 eV per atom
distance to the lowest polymorph of the same formula: 0.000 eV per atom

Lattice parameters (Å, degrees): 4.286 4.286 8.973 76.54 76.54 60.88
Last column: magnetic moment on the atom in μB.
Positions (direct):
Ba 0.043 0.043 0.878  0.05
Os 0.445 0.445 0.626  0.16
Rh 0.802 0.802 0.624  0.12
Ba 0.209 0.209 0.372  0.05

# 12
# Ba2OsRh

A geometry-optimized Ba2OsRh structure (GGA-PBEsol, the Alexandria database).

formation energy from the elements: 0.91 eV per atom
distance to the lowest polymorph of the same formula: 0.695 eV per atom

Lattice parameters (Å, degrees): 3.293 4.270 7.013 90.00 90.00 90.00
Last column: magnetic moment on the atom in μB.
Positions (direct):
Rh 0.500 0.500 0.500  0.07
Os 0.500 0.500 0.000  0.80
Ba 0.000 0.000 0.254  -0.01
Ba 0.000 0.000 0.746  -0.01

# 13
# BaOsRh2

A geometry-optimized BaOsRh2 structure (GGA-PBEsol, the Alexandria database).

formation energy from the elements: 1.11 eV per atom
distance to the lowest polymorph of the same formula: 0.534 eV per atom

Lattice parameters (Å, degrees): 4.661 4.661 4.661 60.00 60.00 60.00
Last column: magnetic moment on the atom in μB.
Positions (direct):
Os 0.250 0.250 0.250  0.73
Rh 0.000 0.000 0.000  0.31
Rh 0.750 0.750 0.750  0.09
Ba 0.500 0.500 0.500  0.01

# 14
# BaOsRu2

A geometry-optimized BaOsRu2 structure (GGA-PBEsol, the Alexandria database).

formation energy from the elements: 1.11 eV per atom
distance to the lowest polymorph of the same formula: 0.253 eV per atom

Lattice parameters (Å, degrees): 3.314 5.520 5.583 119.63 107.27 90.00
Positions (direct):
Os 0.000 0.500 0.000
Ba 0.500 0.000 0.000
Ru 0.690 0.690 0.379
Ru 0.310 0.310 0.621

# 15
# BaOs2Ru

A geometry-optimized BaOs2Ru structure (GGA-PBEsol, the Alexandria database).

formation energy from the elements: 1.50 eV per atom
distance to the lowest polymorph of the same formula: 0.658 eV per atom

Lattice parameters (Å, degrees): 4.437 4.757 4.437 62.20 90.00 117.80
Positions (direct):
Os 0.000 0.000 0.000
Ba 0.750 0.500 0.750
Os 0.250 0.500 0.250
Ru 0.500 0.000 0.500

# 16
# BaOsRu3

A geometry-optimized BaOsRu3 structure (GGA-PBEsol, the Alexandria database).

formation energy from the elements: 1.20 eV per atom

Lattice parameters (Å, degrees): 4.742 4.742 4.742 90.00 90.00 90.00
Positions (direct):
Ba 0.500 0.500 0.500
Os 0.000 0.000 0.000
Ru 0.000 0.000 0.500
Ru 0.500 0.000 0.000
Ru 0.000 0.500 0.000

# 17
# BaOs2Ru

A geometry-optimized BaOs2Ru structure (GGA-PBEsol, the Alexandria database).

formation energy from the elements: 0.87 eV per atom
distance to the lowest polymorph of the same formula: 0.027 eV per atom

Lattice parameters (Å, degrees): 2.870 4.080 7.021 90.00 101.84 90.00
Positions (direct):
Os 0.991 0.000 0.107
Os 0.550 0.500 0.224
Ru 0.652 0.000 0.430
Ba 0.307 0.500 0.739

# 18
# BaOs2Ru

A geometry-optimized BaOs2Ru structure (GGA-PBEsol, the Alexandria database).

formation energy from the elements: 1.66 eV per atom
distance to the lowest polymorph of the same formula: 0.822 eV per atom

Lattice parameters (Å, degrees): 4.656 4.656 4.656 60.00 60.00 60.00
Last column: magnetic moment on the atom in μB.
Positions (direct):
Os 0.750 0.750 0.750  0.62
Ba 0.000 0.000 0.000  0.00
Os 0.250 0.250 0.250  0.62
Ru 0.500 0.500 0.500  0.75

# 19
# BaOsRu2

A geometry-optimized BaOsRu2 structure (GGA-PBEsol, the Alexandria database).

formation energy from the elements: 0.86 eV per atom
distance to the lowest polymorph of the same formula: 0.000 eV per atom

Lattice parameters (Å, degrees): 2.879 4.119 6.834 90.00 102.30 90.00
Positions (direct):
Ru 0.799 0.000 0.974
Os 0.240 0.500 0.857
Ru 0.902 0.500 0.178
Ba 0.560 0.000 0.491

# 20
# BaOsRu2

A geometry-optimized BaOsRu2 structure (GGA-PBEsol, the Alexandria database).

formation energy from the elements: 1.33 eV per atom
distance to the lowest polymorph of the same formula: 0.473 eV per atom

Lattice parameters (Å, degrees): 4.642 4.642 4.642 60.00 60.00 60.00
Last column: magnetic moment on the atom in μB.
Positions (direct):
Ba 0.000 0.000 0.000  -0.03
Os 0.500 0.500 0.500  0.67
Ru 0.750 0.750 0.750  0.72
Ru 0.250 0.250 0.250  0.72

# 21
# BaOs2Ru

A geometry-optimized BaOs2Ru structure (GGA-PBEsol, the Alexandria database).

formation energy from the elements: 0.84 eV per atom
distance to the lowest polymorph of the same formula: 0.000 eV per atom

Lattice parameters (Å, degrees): 2.819 3.659 7.486 90.00 90.00 90.00
Positions (direct):
Os 0.000 0.000 0.831
Ru 0.500 0.500 0.000
Os 0.000 0.000 0.169
Ba 0.500 0.500 0.500

# 22
# BaOs2RuSe

A geometry-optimized BaOs2RuSe structure (GGA-PBEsol, the Alexandria database).

raw formation energy: 1.8002 eV/atom

Lattice parameters (Å, degrees): 4.503 4.503 5.706 90.00 90.00 90.00
Last column: magnetic moment on the atom in μB.
Positions (direct):
Se 0.000 0.000 0.000  0.00
Os 0.000 0.500 0.000  0.26
Os 0.500 0.000 0.000  0.26
Ru 0.500 0.500 0.500  1.90
Ba 0.000 0.000 0.500  -0.05

# 23
# BaSbOs2

A geometry-optimized BaSbOs2 structure (GGA-PBEsol, the Alexandria database).

raw formation energy: 1.0774 eV/atom

Lattice parameters (Å, degrees): 3.181 3.181 9.489 80.35 80.35 60.00
Positions (direct):
Os 0.235 0.235 0.294
Ba 0.000 0.000 0.000
Os 0.765 0.765 0.706
Sb 0.500 0.500 0.500

# 24
# Ba2SbOs

A geometry-optimized Ba2SbOs structure (GGA-PBEsol, the Alexandria database).

raw formation energy: -0.0098 eV/atom

Lattice parameters (Å, degrees): 4.597 4.992 6.276 113.44 90.00 90.00
Positions (direct):
Os 0.000 0.802 0.604
Ba 0.000 0.107 0.214
Sb 0.500 0.698 0.397
Ba 0.500 0.395 0.790

# 25
# BaSbOs4

A geometry-optimized BaSbOs4 structure (GGA-PBEsol, the Alexandria database).

raw formation energy: 0.8928 eV/atom

Lattice parameters (Å, degrees): 5.409 5.409 5.409 60.00 60.00 60.00
Positions (direct):
Os 0.872 0.376 0.376
Os 0.376 0.376 0.872
Sb 0.750 0.750 0.750
Os 0.376 0.376 0.376
Os 0.376 0.872 0.376
Ba 0.000 0.000 0.000

# 26
# BaSbOs2

A geometry-optimized BaSbOs2 structure (GGA-PBEsol, the Alexandria database).

raw formation energy: 0.4470 eV/atom

Lattice parameters (Å, degrees): 2.993 3.725 7.912 90.00 90.00 90.00
Positions (direct):
Os 0.000 0.000 0.080
Sb 0.000 0.000 0.426
Os 0.500 0.500 0.215
Ba 0.500 0.500 0.778

# 27
# Ba4ScOs

A geometry-optimized Ba4ScOs structure (GGA-PBEsol, the Alexandria database).

formation energy from the elements: 1.33 eV per atom

Lattice parameters (Å, degrees): 6.613 6.613 6.613 60.00 60.00 60.00
Last column: magnetic moment on the atom in μB.
Positions (direct):
Ba 0.376 0.872 0.376  0.08
Ba 0.872 0.376 0.376  0.08
Ba 0.376 0.376 0.376  0.08
Ba 0.376 0.376 0.872  0.08
Os 0.750 0.750 0.750  -0.43
Sc 0.000 0.000 0.000  0.47

# 28
# BaSc3Os

A geometry-optimized BaSc3Os structure (GGA-PBEsol, the Alexandria database).

formation energy from the elements: -0.05 eV per atom

Lattice parameters (Å, degrees): 5.154 5.154 5.154 90.00 90.00 90.00
Positions (direct):
Sc 0.500 0.000 0.000
Sc 0.000 0.000 0.500
Sc 0.000 0.500 0.000
Ba 0.500 0.500 0.500
Os 0.000 0.000 0.000

# 29
# BaSiOs3

A geometry-optimized BaSiOs3 structure (GGA-PBEsol, the Alexandria database).

raw formation energy: 4.0289 eV/atom
distance to the lowest polymorph of the same formula: 2.947 eV per atom

Lattice parameters (Å, degrees): 4.970 4.970 4.970 90.00 90.00 90.00
Last column: magnetic moment on the atom in μB.
Positions (direct):
Os 0.500 0.000 0.000  0.98
Os 0.000 0.000 0.500  0.98
Os 0.000 0.500 0.000  0.98
Si 0.500 0.500 0.500  -0.06
Ba 0.000 0.000 0.000  -0.02

# 30
# BaSiOs2

A geometry-optimized BaSiOs2 structure (GGA-PBEsol, the Alexandria database).

raw formation energy: 0.8094 eV/atom

Lattice parameters (Å, degrees): 2.899 5.374 5.615 118.59 104.96 90.00
Positions (direct):
Os 0.794 0.794 0.588
Os 0.206 0.206 0.412
Si 0.500 0.000 0.000
Ba 0.000 0.500 0.000

Number 1: DOS at the Fermi energy 4.334 states/eV/f.u., size of the total moment 0.00 μB/f.u.. Number 2: DOS at the Fermi energy 6.094 states/eV/f.u., size of the total moment 0.00 μB/f.u.. Number 3: DOS at the Fermi energy 3.506 states/eV/f.u., size of the total moment 0.00 μB/f.u.. Number 4: DOS at the Fermi energy 2.273 states/eV/f.u., size of the total moment 0.00 μB/f.u.. Number 5: DOS at the Fermi energy 4.616 states/eV/f.u., size of the total moment 0.98 μB/f.u.. Number 6: DOS at the Fermi energy 5.063 states/eV/f.u., size of the total moment 0.03 μB/f.u.. Number 7: DOS at the Fermi energy 4.961 states/eV/f.u., size of the total moment 0.00 μB/f.u.. Number 8: DOS at the Fermi energy 6.107 states/eV/f.u., size of the total moment 1.76 μB/f.u.. Number 9: DOS at the Fermi energy 4.734 states/eV/f.u., size of the total moment 0.00 μB/f.u.. Number 10: DOS at the Fermi energy 3.166 states/eV/f.u., size of the total moment 0.00 μB/f.u.. Number 11: DOS at the Fermi energy 4.915 states/eV/f.u., size of the total moment 0.86 μB/f.u.. Number 12: DOS at the Fermi energy 4.821 states/eV/f.u., size of the total moment 0.92 μB/f.u.. Number 13: DOS at the Fermi energy 7.132 states/eV/f.u., size of the total moment 1.17 μB/f.u.. Number 14: DOS at the Fermi energy 2.537 states/eV/f.u., size of the total moment 0.00 μB/f.u.. Number 15: DOS at the Fermi energy 5.457 states/eV/f.u., size of the total moment 0.00 μB/f.u.. Number 16: DOS at the Fermi energy 6.404 states/eV/f.u., size of the total moment 0.00 μB/f.u.. Number 17: DOS at the Fermi energy 4.630 states/eV/f.u., size of the total moment 0.00 μB/f.u.. Number 18: DOS at the Fermi energy 5.569 states/eV/f.u., size of the total moment 2.06 μB/f.u.. Number 19: DOS at the Fermi energy 5.802 states/eV/f.u., size of the total moment 0.00 μB/f.u.. Number 20: DOS at the Fermi energy 5.114 states/eV/f.u., size of the total moment 2.12 μB/f.u.. Number 21: DOS at the Fermi energy 5.171 states/eV/f.u., size of the total moment 0.00 μB/f.u.. Number 22: DOS at the Fermi energy 6.933 states/eV/f.u., size of the total moment 2.45 μB/f.u.. Number 23: DOS at the Fermi energy 3.640 states/eV/f.u., size of the total moment 0.00 μB/f.u.. Number 24: DOS at the Fermi energy 3.415 states/eV/f.u., size of the total moment 0.00 μB/f.u.. Number 25: DOS at the Fermi energy 9.273 states/eV/f.u., size of the total moment 0.00 μB/f.u.. Number 26: DOS at the Fermi energy 3.279 states/eV/f.u., size of the total moment 0.00 μB/f.u.. Number 27: DOS at the Fermi energy 8.128 states/eV/f.u., size of the total moment 0.94 μB/f.u.. Number 28: DOS at the Fermi energy 4.445 states/eV/f.u., size of the total moment 0.00 μB/f.u.. Number 29: DOS at the Fermi energy 10.088 states/eV/f.u., size of the total moment 2.97 μB/f.u.. Number 30: DOS at the Fermi energy 3.533 states/eV/f.u., size of the total moment 0.00 μB/f.u..